Sr3LaAg after structural relaxation. Source: the Alexandria database, functional PBE-GGA.

Lattice parameters (Å, degrees): 6.251 6.251 6.251 90.00 90.00 90.00
Space group Pm-3m (No. 221)
Unique sites:
Sr  0.000  0.000  0.500 [3 per cell]
La  0.000  0.000  0.000 [1 per cell]
Ag  0.500  0.500  0.500 [1 per cell]

## Properties
For the calculated total energy, the calculation gives -1.6462 eV per atom.